Entry 1:
This record from Alexandria via LeMat-Bulk describes a relaxed structure of LiTlHgI2. The functional is GGA-PBE.

Summary:
* final energy: -2.15 eV per atom
* raw formation energy: -0.6092 eV/atom
* ΔE to the lowest computed polymorph: 0.000 eV per atom
* V: 35.39 Å³/atom
* total moment: 0.00 μB per formula unit

Lattice parameters (Å, degrees): 5.7683 5.7683 5.3185 90.00 90.00 90.00
Element x y z (fractional)
1 I 0.0000 0.5000 0.0000
2 I 0.5000 0.0000 0.0000
3 Tl 0.5000 0.5000 0.5000
4 Hg 0.0000 0.0000 0.5000
5 Li 0.0000 0.0000 0.0000

=====

Entry 2:
This record from Alexandria via LeMat-Bulk describes a relaxed structure of LiTl2HgI5. The functional is GGA-PBE.

Summary:
* final energy: -2.28 eV per atom
* raw formation energy: -0.6452 eV/atom
* V: 39.36 Å³/atom
* total moment: 0.00 μB per formula unit

Lattice parameters (Å, degrees): 4.5219 10.9042 14.6868 90.00 90.00 101.97
Element x y z (fractional)
1 Li 0.7819 0.5638 0.5336
2 Li 0.2181 0.4362 0.0336
3 Tl 0.8631 0.7262 0.8212
4 Tl 0.1366 0.2732 0.6821
5 Tl 0.1369 0.2738 0.3212
6 Tl 0.8634 0.7268 0.1821
7 Hg 0.5606 0.1212 0.9276
8 Hg 0.4394 0.8788 0.4276
9 I 0.3483 0.6966 0.0080
10 I 0.6910 0.3820 0.8792
11 I 0.4910 0.9821 0.7671
12 I 0.2954 0.5908 0.6596
13 I 0.9594 0.9188 0.5455
14 I 0.6517 0.3034 0.5080
15 I 0.3090 0.6180 0.3792
16 I 0.5090 0.0179 0.2671
17 I 0.7046 0.4092 0.1596
18 I 0.0406 0.0812 0.0455

=====

Entry 3:
This record from Alexandria via LeMat-Bulk describes a relaxed structure of Li2TlHgI6. The functional is GGA-PBE.

Summary:
* final energy: -2.21 eV per atom
* raw formation energy: -0.6280 eV/atom
* V: 47.64 Å³/atom
* total moment: 1.02 μB per formula unit

Lattice parameters (Å, degrees): 8.8653 11.0567 11.0567 91.93 70.70 70.70
Last column: magnetic moment on the atom in μB.
Element x y z (fractional)
1 Li 0.3865 0.7470 0.5802  0.00
2 Li 0.1135 0.4198 0.2530  0.00
3 Li 0.6135 0.2530 0.4198  0.00
4 Li 0.8865 0.5802 0.7470  0.00
5 Tl 0.2500 0.8913 0.1087  0.00
6 Tl 0.7500 0.1087 0.8913  0.00
7 Hg 0.2500 0.1786 0.8214  0.00
8 Hg 0.7500 0.8214 0.1786  0.00
9 I 0.1956 0.9288 0.8074  0.03
10 I 0.3044 0.1926 0.0712  0.03
11 I 0.8044 0.0712 0.1926  0.03
12 I 0.6956 0.8074 0.9288  0.03
13 I 0.4250 0.8726 0.3649  0.00
14 I 0.0750 0.6351 0.1274  0.00
15 I 0.5750 0.1274 0.6351  0.00
16 I 0.9250 0.3649 0.8726  0.00
17 I 0.1226 0.6628 0.5748  0.30
18 I 0.3774 0.4252 0.3372  0.30
19 I 0.8774 0.3372 0.4252  0.30
20 I 0.6226 0.5748 0.6628  0.30

=====

Entry 4:
This record from Alexandria via LeMat-Bulk describes a relaxed structure of LiTlHg2I. The functional is GGA-PBE.

Summary:
* final energy: -1.56 eV per atom
* raw formation energy: -0.2696 eV/atom
* V: 32.06 Å³/atom
* total moment: 0.00 μB per formula unit

Lattice parameters (Å, degrees): 5.3876 5.3876 5.5226 90.00 90.00 90.00
Element x y z (fractional)
1 I 0.0000 0.0000 0.5000
2 Tl 0.5000 0.5000 0.5000
3 Hg 0.0000 0.5000 0.0000
4 Hg 0.5000 0.0000 0.0000
5 Li 0.0000 0.0000 0.0000

=====

Entry 5:
This record from Alexandria via LeMat-Bulk describes a relaxed structure of LuHgI3. The functional is GGA-PBE.

Summary:
* final energy: -2.82 eV per atom
* raw formation energy: -0.9228 eV/atom
* V: 41.93 Å³/atom
* total moment: 0.00 μB per formula unit

Lattice parameters (Å, degrees): 5.9405 5.9405 5.9405 90.00 90.00 90.00
Element x y z (fractional)
1 I 0.0000 0.5000 0.0000
2 I 0.0000 0.0000 0.5000
3 I 0.5000 0.0000 0.0000
4 Lu 0.0000 0.0000 0.0000
5 Hg 0.5000 0.5000 0.5000

=====

Entry 6:
This record from Alexandria via LeMat-Bulk describes a relaxed structure of MgHgI. The functional is GGA-PBE.

Summary:
* final energy: -1.55 eV per atom
* raw formation energy: -0.4054 eV/atom
* ΔE to the lowest computed polymorph: 0.036 eV per atom
* V: 29.70 Å³/atom
* total moment: 0.00 μB per formula unit

Lattice parameters (Å, degrees): 3.9662 13.1823 6.8170 90.00 90.00 90.00
Element x y z (fractional)
1 Mg 0.0000 0.6218 0.3027
2 Mg 0.0000 0.3782 0.8027
3 Mg 0.5000 0.1218 0.3027
4 Mg 0.5000 0.8782 0.8027
5 Hg 0.0000 0.0072 0.5702
6 Hg 0.0000 0.9928 0.0702
7 Hg 0.5000 0.5072 0.5702
8 Hg 0.5000 0.4928 0.0702
9 I 0.0000 0.2814 0.3904
10 I 0.0000 0.7186 0.8904
11 I 0.5000 0.7814 0.3904
12 I 0.5000 0.2186 0.8904

=====

Entry 7:
This record from Alexandria via LeMat-Bulk describes a relaxed structure of MgHg3I8. The functional is GGA-PBE.

Summary:
* final energy: -1.66 eV per atom
* raw formation energy: -0.4171 eV/atom
* V: 51.35 Å³/atom
* total moment: 0.00 μB per formula unit

Lattice parameters (Å, degrees): 4.5154 12.4373 11.8977 109.69 100.94 90.00
Element x y z (fractional)
1 Mg 0.3473 0.7714 0.6945
2 Hg 0.4258 0.2164 0.8516
3 Hg 0.6515 0.2212 0.3029
4 Hg 0.5722 0.7760 0.1445
5 I 0.4425 0.6887 0.8849
6 I 0.3413 0.9890 0.6825
7 I 0.8917 0.3252 0.7834
8 I 0.2248 0.3335 0.4497
9 I 0.7803 0.6711 0.5606
10 I 0.1051 0.6656 0.2103
11 I 0.5553 0.3118 0.1106
12 I 0.6604 0.9999 0.3209

=====

Entry 8:
This record from Alexandria via LeMat-Bulk describes a relaxed structure of MgHgI. The functional is GGA-PBE.

Summary:
* final energy: -1.54 eV per atom
* raw formation energy: -0.3901 eV/atom
* ΔE to the lowest computed polymorph: 0.051 eV per atom
* V: 32.16 Å³/atom
* total moment: 0.00 μB per formula unit

Lattice parameters (Å, degrees): 6.3449 4.1902 4.1902 120.00 90.00 90.00
Element x y z (fractional)
1 I 0.2665 0.3333 0.6667
2 Mg 0.9913 0.0000 0.0000
3 Hg 0.7422 0.6667 0.3333

=====

Entry 9:
This record from Alexandria via LeMat-Bulk describes a relaxed structure of Mg2HgI. The functional is GGA-PBE.

Summary:
* final energy: -1.24 eV per atom
* raw formation energy: 0.0157 eV/atom
* ΔE to the lowest computed polymorph: 0.198 eV per atom
* V: 28.43 Å³/atom
* total moment: 0.00 μB per formula unit

Lattice parameters (Å, degrees): 5.4384 5.4384 5.4384 60.00 60.00 60.00
Element x y z (fractional)
1 I 0.0000 0.0000 0.0000
2 Mg 0.2500 0.2500 0.2500
3 Mg 0.7500 0.7500 0.7500
4 Hg 0.5000 0.5000 0.5000

=====

Entry 10:
This record from Alexandria via LeMat-Bulk describes a relaxed structure of Mg2Hg2I. The functional is GGA-PBE.

Summary:
* final energy: -1.28 eV per atom
* raw formation energy: -0.2093 eV/atom
* V: 26.38 Å³/atom
* total moment: 0.00 μB per formula unit

Lattice parameters (Å, degrees): 8.3533 8.3533 3.7811 90.00 90.00 90.00
Element x y z (fractional)
1 I 0.0000 0.0000 0.0000
2 I 0.5000 0.5000 0.0000
3 Mg 0.3297 0.8297 0.0000
4 Mg 0.8297 0.6703 0.0000
5 Mg 0.6703 0.1703 0.0000
6 Mg 0.1703 0.3297 0.0000
7 Hg 0.1311 0.6311 0.5000
8 Hg 0.6311 0.8689 0.5000
9 Hg 0.8689 0.3689 0.5000
10 Hg 0.3689 0.1311 0.5000